Entry 1:
First-principles (PBE) data for Er2Tm3Pt4 after structural relaxation, as listed in Alexandria via LeMat-Bulk.

a b c (Å): 6.8043 7.6007 8.7939
angles (deg): 90.00 112.76 90.00
Closest atoms and distances in Å follow each position.
Fractional coordinates of all 18 atoms:
Er 0.0922 0.6015 0.1845  5 Pt 2.96-3.25
Er 0.9078 0.3985 0.8155  5 Pt 2.96-3.25
Er 0.4078 0.1015 0.8155  5 Pt 2.96-3.25
Er 0.5922 0.8985 0.1845  5 Pt 2.96-3.25
Tm 0.0000 0.0000 0.0000  6 Pt 2.66-2.91
Tm 0.5000 0.5000 0.0000  6 Pt 2.66-2.91
Tm 0.5287 0.7500 0.5574  5 Pt 2.79-2.96
Tm 0.9713 0.2500 0.4426  5 Pt 2.79-2.96
Tm 0.4713 0.2500 0.4426  5 Pt 2.79-2.96
Tm 0.0287 0.7500 0.5574  5 Pt 2.79-2.96
Pt 0.7026 0.7500 0.9052  3 Tm 2.66-2.82
Pt 0.7974 0.2500 0.0948  3 Tm 2.66-2.82
Pt 0.2974 0.2500 0.0948  3 Tm 2.66-2.82
Pt 0.2026 0.7500 0.9052  3 Tm 2.66-2.82
Pt 0.1775 0.9460 0.3549  5 Tm 2.79-2.96, 1 Er 2.96
Pt 0.8225 0.0540 0.6451  5 Tm 2.79-2.96, 1 Er 2.96
Pt 0.3225 0.4460 0.6451  5 Tm 2.79-2.96, 1 Er 2.96
Pt 0.6775 0.5540 0.3549  5 Tm 2.79-2.96, 1 Er 2.96

Its formation energy from the elements is -9.5 eV/f.u. For the theoretical density, the calculation gives 12.8 Mg/m³. The space group is No. 64. Its density of states at the Fermi level is 13.0 states/eV per cell.

Entry 2:
First-principles (PBE) data for Er2Tm3Pt4 after structural relaxation, as listed in Alexandria via LeMat-Bulk.

a b c (Å): 7.4093 7.5912 7.6547
angles (deg): 90.00 90.00 110.03
Closest atoms and distances in Å follow each position.
Fractional coordinates of all 18 atoms:
Er 0.5693 0.1917 0.3205  5 Pt 2.91-3.23
Er 0.9307 0.8083 0.8205  5 Pt 2.91-3.23
Er 0.4307 0.8083 0.6795  5 Pt 2.91-3.23
Er 0.0693 0.1917 0.1795  5 Pt 2.91-3.23
Tm 0.0000 0.5000 0.5000  6 Pt 2.94-2.97
Tm 0.5000 0.5000 0.0000  6 Pt 2.94-2.97
Tm 0.7454 0.2442 0.8331  6 Pt 2.80-2.96
Tm 0.7546 0.7558 0.3331  6 Pt 2.80-2.96
Tm 0.2546 0.7558 0.1669  6 Pt 2.80-2.96
Tm 0.2454 0.2442 0.6669  6 Pt 2.80-2.96
Pt 0.8466 0.0848 0.5355  4 Tm 2.80-2.97, 1 Er 2.96, 1 Pt 3.02
Pt 0.6534 0.9152 0.0355  4 Tm 2.80-2.97, 1 Er 2.96, 1 Pt 3.02
Pt 0.1534 0.9152 0.4645  4 Tm 2.80-2.97, 1 Er 2.96, 1 Pt 3.02
Pt 0.3466 0.0848 0.9645  4 Tm 2.80-2.97, 1 Er 2.96, 1 Pt 3.02
Pt 0.8662 0.4864 0.1373  1 Pt 2.85, 5 Tm 2.88-2.94, 2 Er 2.91-3.11
Pt 0.6338 0.5136 0.6373  1 Pt 2.85, 5 Tm 2.88-2.94, 2 Er 2.91-3.11
Pt 0.1338 0.5136 0.8627  1 Pt 2.85, 5 Tm 2.88-2.94, 2 Er 2.91-3.11
Pt 0.3662 0.4864 0.3627  1 Pt 2.85, 5 Tm 2.88-2.94, 2 Er 2.91-3.11

Its formation energy from the elements is -11.0 eV/f.u. For the theoretical density, the calculation gives 13.3 Mg/m³. The space group is No. 14. Its density of states at the Fermi level is 9.5 states/eV per cell.

Entry 3:
First-principles (PBE) data for ErTm3Pt2 after structural relaxation, as listed in Alexandria via LeMat-Bulk.

a b c (Å): 4.7213 7.0675 8.6796
angles (deg): 90.00 90.00 90.00
Closest atoms and distances in Å follow each position.
Fractional coordinates of all 12 atoms:
Er 0.5000 0.5105 0.5824  3 Pt 2.81-3.03
Er 0.5000 0.0105 0.4176  3 Pt 2.81-3.03
Tm 0.0000 0.4896 0.9175  3 Pt 2.80-3.02
Tm 0.0000 0.9896 0.0825  3 Pt 2.80-3.02
Tm 0.5000 0.6439 0.1704  4 Pt 2.85-2.92
Tm 0.5000 0.1439 0.8296  4 Pt 2.85-2.92
Tm 0.0000 0.3561 0.3288  4 Pt 2.85-2.92
Tm 0.0000 0.8561 0.6712  4 Pt 2.85-2.92
Pt 0.5000 0.7417 0.8453  1 Er 2.81, 6 Tm 2.85-3.02
Pt 0.5000 0.2417 0.1547  1 Er 2.81, 6 Tm 2.85-3.02
Pt 0.0000 0.2582 0.6555  5 Tm 2.80-2.92, 2 Er 3.03
Pt 0.0000 0.7582 0.3445  5 Tm 2.80-2.92, 2 Er 3.03

Its formation energy from the elements is -6.0 eV/f.u. For the theoretical density, the calculation gives 12.2 Mg/m³. The space group is No. 26. Its density of states at the Fermi level is 11.7 states/eV per cell.

Entry 4:
First-principles (PBE) data for ErTm3Pt12 after structural relaxation, as listed in Alexandria via LeMat-Bulk.

a b c (Å): 4.0993 4.0993 16.3313
angles (deg): 90.00 90.00 90.00
Closest atoms and distances in Å follow each position.
Fractional coordinates of all 16 atoms:
Er 0.0000 0.0000 0.0000  12 Pt 2.90
Tm 0.0000 0.0000 0.2503  12 Pt 2.89-2.90
Tm 0.0000 0.0000 0.5000  12 Pt 2.89-2.90
Tm 0.0000 0.0000 0.7497  12 Pt 2.89-2.90
Pt 0.5000 0.5000 0.0000  4 Er 2.90, 8 Pt 2.90
Pt 0.5000 0.5000 0.2504  8 Pt 2.89, 4 Tm 2.90
Pt 0.5000 0.5000 0.5000  8 Pt 2.89, 4 Tm 2.90
Pt 0.5000 0.5000 0.7496  8 Pt 2.89, 4 Tm 2.90
Pt 0.5000 0.0000 0.1255  2 Tm 2.89, 8 Pt 2.89-2.90, 2 Er 2.90
Pt 0.5000 0.0000 0.3752  4 Tm 2.89, 8 Pt 2.89-2.90
Pt 0.5000 0.0000 0.6248  4 Tm 2.89, 8 Pt 2.89-2.90
Pt 0.5000 0.0000 0.8745  2 Tm 2.89, 8 Pt 2.89-2.90, 2 Er 2.90
Pt 0.0000 0.5000 0.1255  2 Tm 2.89, 8 Pt 2.89-2.90, 2 Er 2.90
Pt 0.0000 0.5000 0.3752  8 Pt 2.89-2.90, 4 Tm 2.89
Pt 0.0000 0.5000 0.6248  8 Pt 2.89-2.90, 4 Tm 2.89
Pt 0.0000 0.5000 0.8745  2 Tm 2.89, 8 Pt 2.89-2.90, 2 Er 2.90

Its formation energy from the elements is -17.3 eV/f.u. For the theoretical density, the calculation gives 18.2 Mg/m³. The space group is No. 123. Its density of states at the Fermi level is 15.1 states/eV per cell.

Entry 5:
First-principles (PBE) data for ErTm5Pt6 after structural relaxation, as listed in Alexandria via LeMat-Bulk.

a b c (Å): 4.8836 8.4519 8.4519
angles (deg): 120.01 106.81 106.81
Closest atoms and distances in Å follow each position.
Fractional coordinates of all 12 atoms:
Tm 0.5000 0.1667 0.8333  8 Pt 2.98-2.99
Tm 0.0000 0.3332 0.6668  8 Pt 2.98-2.99
Tm 0.5000 0.5000 0.5000  8 Pt 2.98-2.99
Tm 0.0000 0.6668 0.3332  8 Pt 2.98-2.99
Tm 0.5000 0.8333 0.1667  8 Pt 2.98-2.99
Pt 0.2507 0.0834 0.4179  7 Tm 2.98-2.99, 1 Er 3.00
Pt 0.7493 0.5821 0.9166  7 Tm 2.98-2.99, 1 Er 3.00
Pt 0.7514 0.2514 0.2514  6 Tm 2.98-2.99, 2 Er 2.99-3.00
Pt 0.2486 0.7486 0.7486  6 Tm 2.98-2.99, 2 Er 2.99-3.00
Pt 0.2507 0.4179 0.0834  7 Tm 2.98-2.99, 1 Er 3.00
Pt 0.7493 0.9166 0.5821  7 Tm 2.98-2.99, 1 Er 3.00
Er 0.0000 0.0000 0.0000  8 Pt 2.99-3.00

Its formation energy from the elements is -15.4 eV/f.u. For the theoretical density, the calculation gives 14.7 Mg/m³. The space group is No. 71. Its density of states at the Fermi level is 6.3 states/eV per cell.

Entry 6:
First-principles (PBE) data for Er3Tm4Pt4 after structural relaxation, as listed in Alexandria via LeMat-Bulk.

a b c (Å): 3.7610 8.6851 9.3647
angles (deg): 117.63 101.58 90.00
Closest atoms and distances in Å follow each position.
Fractional coordinates of all 11 atoms:
Er 0.0989 0.0989 0.1978  6 Pt 3.01-3.06, 1 Er 3.20
Er 0.9011 0.9011 0.8022  6 Pt 3.01-3.06, 1 Er 3.20
Er 0.0000 0.5000 0.0000  4 Pt 3.15
Tm 0.3339 0.1464 0.6679  4 Pt 2.83-3.00
Tm 0.6661 0.4786 0.3321  4 Pt 2.83-3.00
Tm 0.6661 0.8536 0.3321  4 Pt 2.83-3.00
Tm 0.3339 0.5214 0.6679  4 Pt 2.83-3.00
Pt 0.2553 0.7553 0.5107  6 Tm 2.88-3.00, 2 Er 3.01
Pt 0.7447 0.2447 0.4893  6 Tm 2.88-3.00, 2 Er 3.01
Pt 0.5000 0.7908 0.0000  2 Tm 2.83, 6 Er 3.06-3.15
Pt 0.5000 0.2092 0.0000  2 Tm 2.83, 6 Er 3.06-3.15

Its formation energy from the elements is -10.6 eV/f.u. For the theoretical density, the calculation gives 12.3 Mg/m³. The space group is No. 71. Its density of states at the Fermi level is 8.2 states/eV per cell.

Please write out number 4 again, unchanged.
First-principles (PBE) data for ErTm3Pt12 after structural relaxation, as listed in Alexandria via LeMat-Bulk.

a b c (Å): 4.0993 4.0993 16.3313
angles (deg): 90.00 90.00 90.00
Closest atoms and distances in Å follow each position.
Fractional coordinates of all 16 atoms:
Er 0.0000 0.0000 0.0000  12 Pt 2.90
Tm 0.0000 0.0000 0.2503  12 Pt 2.89-2.90
Tm 0.0000 0.0000 0.5000  12 Pt 2.89-2.90
Tm 0.0000 0.0000 0.7497  12 Pt 2.89-2.90
Pt 0.5000 0.5000 0.0000  4 Er 2.90, 8 Pt 2.90
Pt 0.5000 0.5000 0.2504  8 Pt 2.89, 4 Tm 2.90
Pt 0.5000 0.5000 0.5000  8 Pt 2.89, 4 Tm 2.90
Pt 0.5000 0.5000 0.7496  8 Pt 2.89, 4 Tm 2.90
Pt 0.5000 0.0000 0.1255  2 Tm 2.89, 8 Pt 2.89-2.90, 2 Er 2.90
Pt 0.5000 0.0000 0.3752  4 Tm 2.89, 8 Pt 2.89-2.90
Pt 0.5000 0.0000 0.6248  4 Tm 2.89, 8 Pt 2.89-2.90
Pt 0.5000 0.0000 0.8745  2 Tm 2.89, 8 Pt 2.89-2.90, 2 Er 2.90
Pt 0.0000 0.5000 0.1255  2 Tm 2.89, 8 Pt 2.89-2.90, 2 Er 2.90
Pt 0.0000 0.5000 0.3752  8 Pt 2.89-2.90, 4 Tm 2.89
Pt 0.0000 0.5000 0.6248  8 Pt 2.89-2.90, 4 Tm 2.89
Pt 0.0000 0.5000 0.8745  2 Tm 2.89, 8 Pt 2.89-2.90, 2 Er 2.90

Its formation energy from the elements is -17.3 eV/f.u. For the theoretical density, the calculation gives 18.2 Mg/m³. The space group is No. 123. Its density of states at the Fermi level is 15.1 states/eV per cell.

> Which formula does entry 4 have?

ErTm3Pt12